--- P ---
A plane-wave DFT calculation with PBE-GGA was carried out for a geometry-optimized CsCdFeTe3 structure.

a b c (Å): 4.1921 17.2507 11.4403
angles (deg): 90.00 90.00 90.00
Space group Cmcm (No. 63)
Unique sites:
1 Cs 0.0000 0.2455 0.2500 (multiplicity 4)
2 Cd 0.0000 0.4588 0.7500 (multiplicity 4)
3 Fe 0.0000 0.0000 0.0000 (multiplicity 4)
4 Te 0.0000 0.0680 0.7500 (multiplicity 4)
5 Te 0.0000 0.3921 0.5282 (multiplicity 8)

For the calculated volume, the calculation gives 34.5 Å³ per atom.

---

--- Q ---
A plane-wave DFT calculation with PBE-GGA was carried out for a geometry-optimized CsCdFeTe3 structure.

a b c (Å): 16.9199 4.0832 11.9741
angles (deg): 90.00 90.00 90.00
Space group Pnma (No. 62)
Unique sites:
1 Cs 0.2403 0.2500 0.0925 (multiplicity 4)
2 Cd 0.0172 0.7500 0.1148 (multiplicity 4)
3 Fe 0.0283 0.2500 0.3920 (multiplicity 4)
4 Te 0.0698 0.2500 0.5979 (multiplicity 4)
5 Te 0.1008 0.7500 0.9022 (multiplicity 4)
6 Te 0.1151 0.7500 0.3113 (multiplicity 4)

For the calculated volume, the calculation gives 34.5 Å³ per atom.

---

Q (0.077 eV/atom below the next structure)

---

--- P ---
A plane-wave DFT calculation with PBE-GGA was carried out for a geometry-optimized GaCuGePt structure.

a b c (Å): 6.2510 6.2510 6.2510
angles (deg): 90.00 90.00 90.00
Space group F-43m (No. 216)
Unique sites:
1 Ga 0.0000 0.0000 0.0000 (multiplicity 4)
2 Cu 0.2500 0.2500 0.7500 (multiplicity 4)
3 Ge 0.0000 0.0000 0.5000 (multiplicity 4)
4 Pt 0.2500 0.2500 0.2500 (multiplicity 4)

For the calculated volume, the calculation gives 15.3 Å³ per atom.

---

--- Q ---
A plane-wave DFT calculation with PBE-GGA was carried out for a geometry-optimized GaCuGePt structure.

a b c (Å): 6.2922 6.2922 6.2922
angles (deg): 90.00 90.00 90.00
Space group F-43m (No. 216)
Unique sites:
1 Ga 0.0000 0.0000 0.0000 (multiplicity 4)
2 Cu 0.0000 0.0000 0.5000 (multiplicity 4)
3 Ge 0.2500 0.2500 0.2500 (multiplicity 4)
4 Pt 0.2500 0.2500 0.7500 (multiplicity 4)

For the calculated volume, the calculation gives 15.6 Å³ per atom.

---

P (0.075 eV/atom below the next structure)

---

--- P ---
A plane-wave DFT calculation with PBE-GGA was carried out for a geometry-optimized TmScOs structure.

a b c (Å): 6.4646 6.4646 6.4646
angles (deg): 90.00 90.00 90.00
Space group F-43m (No. 216)
Unique sites:
1 Tm 0.0000 0.0000 0.0000 (multiplicity 4)
2 Sc 0.2500 0.2500 0.2500 (multiplicity 4)
3 Os 0.2500 0.2500 0.7500 (multiplicity 4)

For the calculated volume, the calculation gives 22.5 Å³ per atom.

---

--- Q ---
A plane-wave DFT calculation with PBE-GGA was carried out for a geometry-optimized TmScOs structure.

a b c (Å): 6.4184 6.4184 6.4184
angles (deg): 90.00 90.00 90.00
Space group F-43m (No. 216)
Unique sites:
1 Tm 0.0000 0.0000 0.0000 (multiplicity 4)
2 Sc 0.2500 0.2500 0.7500 (multiplicity 4)
3 Os 0.0000 0.0000 0.5000 (multiplicity 4)

For the calculated volume, the calculation gives 22.0 Å³ per atom.

---

Q (0.206 eV/atom below the next structure)